Compound: Na3LiCd
Source: the Alexandria database
Functional: PBE-GGA
Structure: relaxed

For the polymorph energy (0 for the lowest one), the calculation gives 0 meV per atom. For the energy of formation from the pure elements, the calculation gives 0.201 eV/atom.

The space group is Pm-3m (No. 221) and the conventional cell measures 5.835, 5.835 and 5.835 Å, with angles of 90.00, 90.00 and 90.00 degrees. The inequivalent atoms are Na at (0.000, 0.000, 0.500), Li at (0.500, 0.500, 0.500) and Cd at (0.000, 0.000, 0.000).

Compound: NaFeIr
Source: the Alexandria database
Functional: PBE-GGA
Structure: relaxed

For the polymorph energy (0 for the lowest one), the calculation gives 688 meV per atom. For the energy of formation from the pure elements, the calculation gives 0.949 eV/atom.

The space group is F-43m (No. 216) and the conventional cell measures 5.772, 5.772 and 5.772 Å, with angles of 90.00, 90.00 and 90.00 degrees. The inequivalent atoms are Na at (0.000, 0.000, 0.000), Fe at (0.250, 0.250, 0.250) and Ir at (0.000, 0.000, 0.500).

Compound: NiPdCl3
Source: the Alexandria database
Functional: PBE-GGA
Structure: relaxed

For the polymorph energy (0 for the lowest one), the calculation gives 0 meV per atom.

The space group is Pm-3m (No. 221) and the conventional cell measures 4.626, 4.626 and 4.626 Å, with angles of 90.00, 90.00 and 90.00 degrees. The inequivalent atoms are Ni at (0.000, 0.000, 0.000), Pd at (0.500, 0.500, 0.500) and Cl at (0.000, 0.000, 0.500).

Compound: BaCaTe2I
Source: the Alexandria database
Functional: PBE-GGA
Structure: relaxed

For the polymorph energy (0 for the lowest one), the calculation gives 0 meV per atom.

The space group is P4/mmm (No. 123) and the conventional cell measures 5.886, 5.886 and 6.061 Å, with angles of 90.00, 90.00 and 90.00 degrees. The inequivalent atoms are Ba at (0.000, 0.000, 0.000), Ca at (0.500, 0.500, 0.500), Te at (0.000, 0.500, 0.500) and I at (0.500, 0.500, 0.000).

Compound: K3BiN
Source: the Alexandria database
Functional: PBE-GGA
Structure: relaxed

For the polymorph energy (0 for the lowest one), the calculation gives 0 meV per atom.

The space group is Pm-3m (No. 221) and the conventional cell measures 5.611, 5.611 and 5.611 Å, with angles of 90.00, 90.00 and 90.00 degrees. The inequivalent atoms are K at (0.000, 0.000, 0.500), Bi at (0.500, 0.500, 0.500) and N at (0.000, 0.000, 0.000).

Compound: Ho2MnCd
Source: the Alexandria database
Functional: PBE-GGA
Structure: relaxed

For the polymorph energy (0 for the lowest one), the calculation gives 442 meV per atom. For the energy of formation from the pure elements, the calculation gives 0.357 eV/atom.

The space group is R-3m (No. 166, hexagonal axes) and the conventional cell measures 3.3129, 3.3129 and 32.9440 Å, with angles of 90.00, 90.00 and 120.00 degrees. The inequivalent atoms are Ho at (0.0000, 0.0000, 0.0976), Mn at (0.0000, 0.0000, 0.5000) and Cd at (0.0000, 0.0000, 0.0000).

Compound: Sc3NbIr
Source: the Alexandria database
Functional: PBE-GGA
Structure: relaxed

For the polymorph energy (0 for the lowest one), the calculation gives 0 meV per atom. For the energy of formation from the pure elements, the calculation gives 0.201 eV/atom.

The space group is Pm-3m (No. 221) and the conventional cell measures 4.983, 4.983 and 4.983 Å, with angles of 90.00, 90.00 and 90.00 degrees. The inequivalent atoms are Sc at (0.000, 0.000, 0.500), Nb at (0.500, 0.500, 0.500) and Ir at (0.000, 0.000, 0.000).

Compound: Nd6SiAs3S2
Source: the Alexandria database
Functional: PBE-GGA
Structure: relaxed

The value obtained for the energy is -6.252 eV per atom.

The space group is C2/m (No. 12) and the conventional cell measures 18.356, 4.214 and 8.430 Å, with angles of 90.00, 103.11 and 90.00 degrees. The inequivalent atoms are Nd at (0.001, 0.000, 0.248), Nd at (0.166, 0.500, 0.083), Nd at (0.166, 0.500, 0.584), Si at (0.000, 0.500, 0.000), As at (0.000, 0.500, 0.500), As at (0.168, 0.000, 0.831) and S at (0.169, 0.000, 0.337).

Compound: TcGeH2
Source: the Alexandria database
Functional: PBE-GGA
Structure: relaxed

For the polymorph energy (0 for the lowest one), the calculation gives 147 meV per atom.

The space group is I-42d (No. 122) and the conventional cell measures 5.617, 5.617 and 4.972 Å, with angles of 90.00, 90.00 and 90.00 degrees. The inequivalent atoms are Tc at (0.000, 0.000, 0.000), Ge at (0.000, 0.000, 0.500) and H at (0.165, 0.250, 0.125).

Compound: Sr2BiTeO6
Source: the Alexandria database
Functional: PBE-GGA
Structure: relaxed

The value obtained for the energy is -5.862 eV per atom.

The space group is R-3 (No. 148, hexagonal axes) and the conventional cell measures 6.1143, 6.1143 and 14.6423 Å, with angles of 90.00, 90.00 and 120.00 degrees. The inequivalent atoms are Sr at (0.0000, 0.0000, 0.2380), Bi at (0.0000, 0.0000, 0.5000), Te at (0.0000, 0.0000, 0.0000) and O at (0.0306, 0.6036, 0.7491).

Compound: Be2V4B
Source: the Alexandria database
Functional: PBE-GGA
Structure: relaxed

For the energy of formation from the pure elements, the calculation gives 0.344 eV/atom.

The space group is I4/mmm (No. 139) and the conventional cell measures 3.821, 3.821 and 12.304 Å, with angles of 90.00, 90.00 and 90.00 degrees. The inequivalent atoms are Be at (0.000, 0.000, 0.131), V at (0.000, 0.000, 0.330), V at (0.000, 0.500, 0.000) and B at (0.000, 0.000, 0.500).

Compound: Pa3CoNi
Source: the Alexandria database
Functional: PBE-GGA
Structure: relaxed

For the polymorph energy (0 for the lowest one), the calculation gives 70 meV per atom. For the energy of formation from the pure elements, the calculation gives -0.175 eV/atom.

The space group is P-1 (No. 2) and the conventional cell measures 5.650, 6.123 and 7.010 Å, with angles of 114.00, 91.87 and 111.00 degrees. The inequivalent atoms are Pa at (0.123, 0.003, 0.237), Pa at (0.214, 0.579, 0.684), Pa at (0.281, 0.569, 0.169), Co at (0.398, 0.154, 0.982) and Ni at (0.297, 0.960, 0.575).

Compound: Sm7Y12Ho
Source: the Alexandria database
Functional: PBE-GGA
Structure: relaxed

For the polymorph energy (0 for the lowest one), the calculation gives 87 meV per atom. For the energy of formation from the pure elements, the calculation gives 0.325 eV/atom.

The space group is R-3 (No. 148, hexagonal axes) and the conventional cell measures 18.6349, 18.6349 and 6.8177 Å, with angles of 90.00, 90.00 and 120.00 degrees. The inequivalent atoms are Sm at (0.0000, 0.0000, 0.0000), Sm at (0.0077, 0.8515, 0.2831), Y at (0.9999, 0.2137, 0.2104), Y at (0.0073, 0.4702, 0.2370) and Ho at (0.0000, 0.0000, 0.5000).

Compound: NaNb2IrC
Source: the Alexandria database
Functional: PBE-GGA
Structure: relaxed

For the energy of formation from the pure elements, the calculation gives 1.343 eV/atom.

The space group is P4/mmm (No. 123) and the conventional cell measures 5.155, 5.155 and 3.844 Å, with angles of 90.00, 90.00 and 90.00 degrees. The inequivalent atoms are Na at (0.000, 0.000, 0.000), Nb at (0.000, 0.500, 0.500), Ir at (0.500, 0.500, 0.500) and C at (0.500, 0.500, 0.000).

Compound: CePm3Er2Se6
Source: the Alexandria database
Functional: PBE-GGA
Structure: relaxed

The value obtained for the energy is -5.976 eV per atom.

The space group is C2/m (No. 12) and the conventional cell measures 18.083, 4.113 and 8.362 Å, with angles of 90.00, 103.55 and 90.00 degrees. The inequivalent atoms are Ce at (0.000, 0.000, 0.000), Pm at (0.000, 0.000, 0.500), Pm at (0.163, 0.500, 0.833), Er at (0.165, 0.500, 0.330), Se at (0.005, 0.500, 0.253), Se at (0.169, 0.000, 0.094) and Se at (0.171, 0.000, 0.575).

Compound: ZnSiAg2
Source: the Alexandria database
Functional: PBE-GGA
Structure: relaxed

For the polymorph energy (0 for the lowest one), the calculation gives 75 meV per atom.

The space group is Cmmm (No. 65) and the conventional cell measures 3.409, 4.467 and 8.752 Å, with angles of 90.00, 90.00 and 90.00 degrees. The inequivalent atoms are Zn at (0.000, 0.000, 0.000), Si at (0.000, 0.000, 0.500) and Ag at (0.000, 0.500, 0.245).

Compound: Ag14PdPt
Source: the Alexandria database
Functional: PBE-GGA
Structure: relaxed

For the energy of formation from the pure elements, the calculation gives 0.020 eV/atom.

The space group is Amm2 (No. 38) and the conventional cell measures 9.597, 5.898 and 9.931 Å, with angles of 90.00, 90.00 and 90.00 degrees. The inequivalent atoms are Ag at (0.000, 0.000, 0.000), Ag at (0.000, 0.000, 0.500), Ag at (0.000, 0.250, 0.250), Ag at (0.251, 0.000, 0.171), Ag at (0.252, 0.000, 0.671), Ag at (0.255, 0.250, 0.419), Ag at (0.500, 0.250, 0.092), Pd at (0.500, 0.000, 0.341) and Pt at (0.500, 0.000, 0.841).

Compound: Nd2Ge3PtRh4
Source: the Alexandria database
Functional: PBE-GGA
Structure: relaxed

For the energy of formation from the pure elements, the calculation gives -0.799 eV/atom.

The space group is P-4m2 (No. 115) and the conventional cell measures 4.226, 4.226 and 10.464 Å, with angles of 90.00, 90.00 and 90.00 degrees. The inequivalent atoms are Nd at (0.000, 0.500, 0.246), Ge at (0.000, 0.000, 0.000), Ge at (0.000, 0.500, 0.625), Pt at (0.500, 0.500, 0.000), Rh at (0.000, 0.000, 0.500), Rh at (0.000, 0.500, 0.855) and Rh at (0.500, 0.500, 0.500).

Compound: Mo3PbW
Source: the Alexandria database
Functional: PBE-GGA
Structure: relaxed

For the polymorph energy (0 for the lowest one), the calculation gives 1371 meV per atom. For the energy of formation from the pure elements, the calculation gives 3.023 eV/atom.

The space group is Pm-3m (No. 221) and the conventional cell measures 4.871, 4.871 and 4.871 Å, with angles of 90.00, 90.00 and 90.00 degrees. The inequivalent atoms are Mo at (0.000, 0.000, 0.500), Pb at (0.000, 0.000, 0.000) and W at (0.500, 0.500, 0.500).

Compound: NaPr2Pb9
Source: the Alexandria database
Functional: PBE-GGA
Structure: relaxed

For the energy of formation from the pure elements, the calculation gives -0.300 eV/atom.

The space group is P4/mmm (No. 123) and the conventional cell measures 4.898, 4.898 and 15.024 Å, with angles of 90.00, 90.00 and 90.00 degrees. The inequivalent atoms are Na at (0.000, 0.000, 0.000), Pr at (0.000, 0.000, 0.336), Pb at (0.000, 0.500, 0.163), Pb at (0.000, 0.500, 0.500), Pb at (0.500, 0.500, 0.000) and Pb at (0.500, 0.500, 0.329).